w:
# PBE TlAgPb2, relaxed
data_TlAgPb2
_symmetry_space_group_name_H-M 'P 1'
_symmetry_Int_Tables_number 1
_cell_length_a 6.280
_cell_length_b 6.280
_cell_length_c 6.280
_cell_angle_alpha 47.03
_cell_angle_beta 47.03
_cell_angle_gamma 47.03
loop_
_symmetry_equiv_pos_as_xyz
'x,y,z'
loop_
_atom_site_label
_atom_site_fract_x
_atom_site_fract_y
_atom_site_fract_z
Tl1 0.000 0.000 0.000
Ag1 0.185 0.185 0.185
Pb1 0.565 0.565 0.565
Pb2 0.781 0.781 0.781
# crystal system = trigonal
# DOS at the Fermi energy = 1.9 states/eV per cell


x:
# PBE TlAgPb2, relaxed
data_TlAgPb2
_symmetry_space_group_name_H-M 'P 1'
_symmetry_Int_Tables_number 1
_cell_length_a 10.759
_cell_length_b 10.759
_cell_length_c 10.759
_cell_angle_alpha 18.64
_cell_angle_beta 18.64
_cell_angle_gamma 18.64
loop_
_symmetry_equiv_pos_as_xyz
'x,y,z'
loop_
_atom_site_label
_atom_site_fract_x
_atom_site_fract_y
_atom_site_fract_z
Tl1 0.000 0.000 0.000
Ag1 0.260 0.260 0.260
Pb1 0.520 0.520 0.520
Pb2 0.758 0.758 0.758
# crystal system = trigonal
# DOS at the Fermi energy = 2.2 states/eV per cell


Stability ranking, top and bottom: x is the most stable and w is the least stable.


w:
# PBE OsRu2W, relaxed
data_OsRu2W
_symmetry_space_group_name_H-M 'P 1'
_symmetry_Int_Tables_number 1
_cell_length_a 4.557
_cell_length_b 4.557
_cell_length_c 4.557
_cell_angle_alpha 56.45
_cell_angle_beta 56.45
_cell_angle_gamma 56.45
loop_
_symmetry_equiv_pos_as_xyz
'x,y,z'
loop_
_atom_site_label
_atom_site_fract_x
_atom_site_fract_y
_atom_site_fract_z
Os1 0.000 0.000 0.000
Ru1 0.537 0.537 0.537
Ru2 0.762 0.762 0.762
W1 0.229 0.229 0.229
# crystal system = trigonal
# DOS at the Fermi energy = 4.3 states/eV per cell


x:
# PBE OsRu2W, relaxed
data_OsRu2W
_symmetry_space_group_name_H-M 'P 1'
_symmetry_Int_Tables_number 1
_cell_length_a 3.263
_cell_length_b 3.263
_cell_length_c 5.607
_cell_angle_alpha 90.00
_cell_angle_beta 90.00
_cell_angle_gamma 90.00
loop_
_symmetry_equiv_pos_as_xyz
'x,y,z'
loop_
_atom_site_label
_atom_site_fract_x
_atom_site_fract_y
_atom_site_fract_z
Os1 0.000 0.000 0.000
Ru1 0.000 0.000 0.491
Ru2 0.500 0.500 0.248
W1 0.500 0.500 0.742
# crystal system = tetragonal
# DOS at the Fermi energy = 4.2 states/eV per cell


Stability ranking, top and bottom: x is the most stable and w is the least stable.


w:
# PBE B5C7, relaxed
data_B5C7
_symmetry_space_group_name_H-M 'P 1'
_symmetry_Int_Tables_number 1
_cell_length_a 4.487
_cell_length_b 4.487
_cell_length_c 8.247
_cell_angle_alpha 119.45
_cell_angle_beta 119.45
_cell_angle_gamma 32.78
loop_
_symmetry_equiv_pos_as_xyz
'x,y,z'
loop_
_atom_site_label
_atom_site_fract_x
_atom_site_fract_y
_atom_site_fract_z
B1 0.000 0.000 0.000
B2 0.298 0.298 0.665
B3 0.510 0.510 0.375
B4 0.706 0.706 0.315
B5 0.970 0.970 0.512
C1 0.141 0.141 0.723
C2 0.189 0.189 0.192
C3 0.344 0.344 0.147
C4 0.489 0.489 0.859
C5 0.653 0.653 0.835
C6 0.771 0.771 0.527
C7 0.833 0.833 0.036
# crystal system = monoclinic
# DOS at the Fermi energy = 2.8 states/eV per cell


x:
# PBE B5C7, relaxed
data_B5C7
_symmetry_space_group_name_H-M 'P 1'
_symmetry_Int_Tables_number 1
_cell_length_a 2.435
_cell_length_b 2.575
_cell_length_c 12.460
_cell_angle_alpha 90.00
_cell_angle_beta 90.00
_cell_angle_gamma 90.00
loop_
_symmetry_equiv_pos_as_xyz
'x,y,z'
loop_
_atom_site_label
_atom_site_fract_x
_atom_site_fract_y
_atom_site_fract_z
B1 0.000 0.000 0.000
B2 0.000 0.000 0.316
B3 0.000 0.500 0.720
B4 0.500 0.000 0.552
B5 0.500 0.000 0.889
C1 0.000 0.000 0.641
C2 0.000 0.500 0.080
C3 0.000 0.500 0.398
C4 0.500 0.000 0.223
C5 0.500 0.500 0.154
C6 0.500 0.500 0.466
C7 0.500 0.500 0.812
# crystal system = orthorhombic
# DOS at the Fermi energy = 1.3 states/eV per cell


Stability ranking, top and bottom: x is the most stable and w is the least stable.